Entry 1:
# RePdPt2

A relaxed structure of RePdPt2 (PBE, the Alexandria database).

As for the energy above the lowest structure with this stoichiometry: 357 meV/atom. The crystal system is cubic. Its formation energy is 207 meV per atom. For the magnetic moment, the calculation gives 0.00 μB/f.u.

It has space group Fm-3m (No. 225), with a = 6.286 Å, b = 6.286 Å, c = 6.286 Å, α = 90.00°, β = 90.00° and γ = 90.00°. The asymmetric unit holds Re at (0.000, 0.000, 0.000), Pd at (0.000, 0.000, 0.500) and Pt at (0.250, 0.250, 0.250).

Entry 2:
# RePdPt

A relaxed structure of RePdPt (PBE, the Alexandria database).

As for the energy above the lowest structure with this stoichiometry: 61 meV/atom. The crystal system is monoclinic. Its formation energy is -48 meV per atom. For the magnetic moment, the calculation gives 0.00 μB/f.u.

It has space group Cm (No. 8), with a = 8.985 Å, b = 3.845 Å, c = 5.626 Å, α = 90.00°, β = 109.39° and γ = 90.00°. The asymmetric unit holds Re at (0.000, 0.000, 0.000), Re at (0.135, 0.500, 0.283), Pd at (0.151, 0.500, 0.807), Pd at (0.318, 0.000, 0.644), Pt at (0.317, 0.000, 0.141) and Pt at (0.483, 0.500, 0.476).

Entry 3:
# RePd3Pt12

A relaxed structure of RePd3Pt12 (PBE, the Alexandria database).

The crystal system is tetragonal. Its formation energy is -44 meV per atom. For the magnetic moment, the calculation gives 0.00 μB/f.u.

It has space group P4/mmm (No. 123), with a = 3.952 Å, b = 3.952 Å, c = 15.878 Å, α = 90.00°, β = 90.00° and γ = 90.00°. The asymmetric unit holds Re at (0.000, 0.000, 0.000), Pd at (0.000, 0.000, 0.248), Pd at (0.000, 0.000, 0.500), Pt at (0.000, 0.500, 0.121), Pt at (0.000, 0.500, 0.375), Pt at (0.500, 0.500, 0.000), Pt at (0.500, 0.500, 0.249) and Pt at (0.500, 0.500, 0.500).

Entry 4:
# RePd2Pt3

A relaxed structure of RePd2Pt3 (PBE, the Alexandria database).

The crystal system is tetragonal. Its formation energy is -105 meV per atom. For the magnetic moment, the calculation gives 0.00 μB/f.u.

It has space group P4/mmm (No. 123), with a = 2.775 Å, b = 2.775 Å, c = 11.956 Å, α = 90.00°, β = 90.00° and γ = 90.00°. The asymmetric unit holds Re at (0.000, 0.000, 0.000), Pd at (0.000, 0.000, 0.332), Pt at (0.500, 0.500, 0.158) and Pt at (0.500, 0.500, 0.500).

Entry 5:
# RePd2Pt

A relaxed structure of RePd2Pt (PBE, the Alexandria database).

As for the energy above the lowest structure with this stoichiometry: 57 meV/atom. The crystal system is trigonal. Its formation energy is -14 meV per atom. For the magnetic moment, the calculation gives 0.00 μB/f.u.

It has space group R-3m (No. 166, hexagonal axes), with a = 2.7667 Å, b = 2.7667 Å, c = 27.5294 Å, α = 90.00°, β = 90.00° and γ = 120.00°. The asymmetric unit holds Re at (0.0000, 0.0000, 0.0000), Pd at (0.0000, 0.0000, 0.2530) and Pt at (0.0000, 0.0000, 0.5000).

Entry 6:
# RePdPt2

A relaxed structure of RePdPt2 (PBE, the Alexandria database).

As for the energy above the lowest structure with this stoichiometry: 67 meV/atom. The crystal system is trigonal. Its formation energy is -83 meV per atom. For the magnetic moment, the calculation gives 0.00 μB/f.u.

It has space group R-3m (No. 166, hexagonal axes), with a = 2.7905 Å, b = 2.7905 Å, c = 27.2422 Å, α = 90.00°, β = 90.00° and γ = 120.00°. The asymmetric unit holds Re at (0.0000, 0.0000, 0.0000), Pd at (0.0000, 0.0000, 0.5000) and Pt at (0.0000, 0.0000, 0.2525).

no.,theoretical density (Mg/m³)
1,18.3
2,17.7
3,19.1
4,17.8
5,16.2
6,18.5